[1]
Compound: NpHgH2
Source: Alexandria via LeMat-Bulk
Functional: PBE
Structure: optimized geometry

Output
- Mass density: 12.2 g/cm³

a b c (Å): 3.6613 3.6613 15.4748
angles (deg): 90.00 90.00 120.00
Last column: nearest neighbours and their distance in Å.
Space group R-3m (No. 166, hexagonal axes)
Inequivalent atoms, fractional coordinates:
Np  0.0000  0.0000  0.0000 x3  6 H 2.20
Hg  0.0000  0.0000  0.5000 x3  8 H 2.90-3.18
H  0.0000  0.0000  0.2948 x6  3 Np 2.20, 3 H 2.43

***

[2]
Compound: NpHg2HO6
Source: Alexandria via LeMat-Bulk
Functional: PBE
Structure: optimized geometry

Output
- Mass density: 8.7 g/cm³

a b c (Å): 6.1450 4.5930 11.3670
angles (deg): 90.00 118.65 90.00
Last column: nearest neighbours and their distance in Å.
Space group P2_1/c (No. 14)
Inequivalent atoms, fractional coordinates:
Np  0.0000  0.0000  0.0000 x2  4 O 1.85-1.98
Hg  0.3390  0.0057  0.8274 x4  3 O 2.18-2.42
H  0.5000  0.0000  0.5000 x2  2 O 1.27
O  0.0084  0.7350  0.8799 x4  1 Np 1.85
O  0.2548  0.7140  0.6561 x4  1 Np 1.98, 1 Hg 2.21
O  0.3612  0.2156  0.4881 x4  1 H 1.27

***

[3]
Compound: NpHgHO6
Source: Alexandria via LeMat-Bulk
Functional: PBE
Structure: optimized geometry

Output
- Mass density: 7.1 g/cm³

a b c (Å): 5.0830 5.1257 5.2172
angles (deg): 113.30 91.34 94.69
Last column: nearest neighbours and their distance in Å.
Space group P1 (No. 1)
Inequivalent atoms, fractional coordinates:
Np  0.0000  0.0000  0.0000 x1  4 O 1.85-1.98
Hg  0.4877  0.6543  0.3201 x1  4 O 2.07-2.13
H  0.7404  0.4268  0.6137 x1  1 O 0.99
O  0.2138  0.7182  0.0474 x1  1 Np 1.96, 1 Hg 2.10
O  0.2188  0.3341  0.3312 x1  1 Hg 2.07, 1 Np 2.10
O  0.2213  0.0299  0.7332 x1  1 Np 1.85
O  0.7283  0.6287  0.6481 x1  1 H 0.99
O  0.7706  0.9706  0.2920 x1  1 Np 1.98, 1 Hg 2.13
O  0.7726  0.2382  0.9324 x1  1 Np 1.87

***

Number 1: total magnetic moment 4.1 μB per formula unit, energy -5.0020 eV/atom. Number 2: total magnetic moment 0.0 μB per formula unit, energy -5.8743 eV/atom. Number 3: total magnetic moment 0.0 μB per formula unit, energy -6.3621 eV/atom.